(1)
First-principles (PBE-GGA) data for a relaxed Ge2PtPb crystal, as listed in the Alexandria database.

a = 3.5469 Å, b = 3.5469 Å, c = 26.7286 Å
α = 90.00°, β = 90.00°, γ = 120.00°
Space group R-3m (No. 166, hexagonal axes)
Symmetry-distinct sites (fractional):
Ge 0.0000 0.0000 0.1101 [6 per cell]
Pt 0.0000 0.0000 0.5000 [3 per cell]
Pb 0.0000 0.0000 0.0000 [3 per cell]

The calculation puts the formation energy at -0.069 eV per atom. Its total energy is -57.782 eV for the cell shown. The density of states at the Fermi level comes out at 2.086 states/eV/f.u.


(2)
First-principles (PBE-GGA) data for a relaxed Ge2Pt2Pb crystal, as listed in the Alexandria database.

a = 8.880 Å, b = 10.184 Å, c = 6.508 Å
α = 90.00°, β = 131.59°, γ = 90.00°
Space group C2/c (No. 15)
Symmetry-distinct sites (fractional):
Ge 0.154 0.128 0.057 [8 per cell]
Pt 0.000 0.071 0.250 [4 per cell]
Pt 0.000 0.328 0.750 [4 per cell]
Pb 0.000 0.372 0.250 [4 per cell]

The calculation puts the formation energy at -0.270 eV per atom. Its total energy is -105.495 eV for the cell shown. The density of states at the Fermi level comes out at 2.257 states/eV/f.u.


(3)
First-principles (PBE-GGA) data for a relaxed Ge2Pt2Pb crystal, as listed in the Alexandria database.

a = 4.532 Å, b = 4.532 Å, c = 9.775 Å
α = 90.00°, β = 90.00°, γ = 90.00°
Space group I4/mmm (No. 139)
Symmetry-distinct sites (fractional):
Ge 0.000 0.000 0.131 [4 per cell]
Pt 0.000 0.500 0.250 [4 per cell]
Pb 0.000 0.000 0.500 [2 per cell]

The calculation puts the formation energy at -0.284 eV per atom. Its total energy is -52.892 eV for the cell shown. The density of states at the Fermi level comes out at 1.633 states/eV/f.u.